1.
## FeGe3 (GGA-PBE)

Data for a relaxed FeGe3 crystal.

The structure in extended XYZ format:
```
4
Lattice="-0.1896 -1.2821 2.7164 -4.3992 -2.9190 -1.6848 4.6018 -0.7055 -1.6792" Properties=species:S:1:pos:R:3 pbc="T T T"
Ge 0.0192 -2.7048 -1.2753
Ge -1.9736 -1.8877 0.6386
Ge 1.5399 -1.1760 1.2198
Fe -0.4004 -0.2657 -0.1533
```

- V: 63.6 Å³ per cell
- Energy of formation: 0.113 eV per atom
- Symmetry: Imm2
- Spin magnetization: 1.25 Bohr magnetons per cell
- Final energy: -5.466 eV per atom



2.
## Na3Ta (GGA-PBE)

Data for a relaxed Na3Ta crystal.

The structure in extended XYZ format:
```
4
Lattice="-2.2899 -4.3641 3.6173 3.4277 -1.1575 4.9279 -2.2607 5.0742 -2.5525" Properties=species:S:1:pos:R:3 pbc="T T T"
Na -1.9908 -1.0253 2.6687
Na 0.8680 0.5780 3.3240
Na 0.5689 -2.7608 4.2726
Ta 0.0000 0.0000 0.0000
```

- V: 114.4 Å³ per cell
- Energy of formation: 1.236 eV per atom
- Symmetry: I4/mmm
- Spin magnetization: 4.06 Bohr magnetons per cell
- Final energy: -2.716 eV per atom